(1)
The following is a PBE calculation of a relaxed structure of Na4YEr3Te8, from Alexandria via LeMat-Bulk.

## Properties
formation energy (no corrections)	-1.31	eV per atom

a = 8.813 Å, b = 9.118 Å, c = 8.813 Å
α = 118.92°, β = 120.00°, γ = 90.00°
Fractional positions:
1 Er 0.500 0.500 0.500
2 Er 0.500 0.500 0.000
3 Er 0.000 0.500 0.500
4 Te 0.755 0.269 0.014
5 Te 0.755 0.269 0.511
6 Te 0.257 0.270 0.513
7 Te 0.258 0.269 0.014
8 Te 0.743 0.730 0.487
9 Te 0.245 0.731 0.489
10 Te 0.742 0.731 0.986
11 Te 0.245 0.731 0.986
12 Na 0.500 0.000 0.500
13 Na 0.000 0.000 0.000
14 Na 0.000 0.000 0.500
15 Na 0.500 0.000 0.000
16 Y 0.000 0.500 0.000

---

(2)
The following is a PBE calculation of a relaxed structure of BaInPt3Pb, from Alexandria via LeMat-Bulk.

## Properties
energy relative to the elements	-0.40	eV per atom

a = 6.047 Å, b = 6.060 Å, c = 9.348 Å
α = 108.91°, β = 90.00°, γ = 90.00°
Fractional positions:
1 In 0.250 0.101 0.201
2 In 0.750 0.899 0.799
3 Pb 0.750 0.594 0.188
4 Pb 0.250 0.406 0.812
5 Pt 0.750 0.749 0.499
6 Pt 0.000 0.765 0.000
7 Pt 0.500 0.765 0.000
8 Pt 0.250 0.251 0.501
9 Pt 0.000 0.235 0.000
10 Pt 0.500 0.235 0.000
11 Ba 0.250 0.780 0.560
12 Ba 0.750 0.220 0.440

---

(3)
The following is a PBE calculation of a relaxed structure of ScTaNi, from Alexandria via LeMat-Bulk.

## Properties
energy relative to the lowest polymorph listed for this composition	19	meV per atom
energy relative to the elements	-0.15	eV per atom

a = 6.241 Å, b = 5.054 Å, c = 8.614 Å
α = 90.00°, β = 132.15°, γ = 90.00°
Fractional positions:
1 Sc 0.080 0.000 0.170
2 Sc 0.080 0.500 0.670
3 Sc 0.763 0.000 0.351
4 Sc 0.763 0.500 0.851
5 Ni 0.582 0.749 0.013
6 Ni 0.582 0.251 0.013
7 Ni 0.582 0.249 0.513
8 Ni 0.582 0.751 0.513
9 Ta 0.387 0.500 0.167
10 Ta 0.387 0.000 0.667
11 Ta 0.094 0.000 0.846
12 Ta 0.094 0.500 0.346

---

(4)
The following is a PBE calculation of a relaxed structure of AcLa2VN4, from Alexandria via LeMat-Bulk.

## Properties
formation energy (no corrections)	-1.16	eV per atom

a = 3.568 Å, b = 6.437 Å, c = 12.531 Å
α = 90.00°, β = 90.00°, γ = 106.09°
Fractional positions:
1 N 0.407 0.815 0.750
2 N 0.732 0.465 0.637
3 N 0.268 0.535 0.363
4 N 0.732 0.465 0.863
5 N 0.000 0.000 0.500
6 N 0.000 0.000 0.000
7 N 0.268 0.535 0.137
8 N 0.593 0.185 0.250
9 Ac 0.915 0.830 0.250
10 Ac 0.085 0.170 0.750
11 V 0.821 0.642 0.750
12 V 0.179 0.358 0.250
13 La 0.632 0.263 0.042
14 La 0.368 0.737 0.958
15 La 0.368 0.737 0.542
16 La 0.632 0.263 0.458

---

(5)
The following is a PBE calculation of a relaxed structure of Sr2TcOs, from Alexandria via LeMat-Bulk.

## Properties
energy relative to the lowest polymorph listed for this composition	674	meV per atom
energy relative to the elements	1.17	eV per atom

a = 2.985 Å, b = 2.985 Å, c = 9.915 Å
α = 90.00°, β = 90.00°, γ = 90.00°
Fractional positions:
1 Os 0.500 0.500 0.750
2 Sr 0.000 0.000 0.990
3 Sr 0.000 0.000 0.510
4 Tc 0.500 0.500 0.250

---

(6)
The following is a PBE calculation of a relaxed structure of ZnH16I2O16, from Alexandria via LeMat-Bulk.

## Properties
energy	-4.749	eV/atom

a = 5.524 Å, b = 10.759 Å, c = 12.129 Å
α = 112.96°, β = 90.00°, γ = 90.00°
Fractional positions:
1 H 0.326 0.752 0.392
2 H 0.771 0.190 0.472
3 H 0.907 0.635 0.113
4 H 0.674 0.248 0.608
5 H 0.271 0.810 0.028
6 H 0.852 0.048 0.229
7 H 0.557 0.869 0.919
8 H 0.364 0.483 0.672
9 H 0.835 0.887 0.158
10 H 0.093 0.365 0.887
11 H 0.648 0.048 0.729
12 H 0.352 0.952 0.271
13 H 0.229 0.810 0.528
14 H 0.057 0.131 0.581
15 H 0.165 0.113 0.842
16 H 0.335 0.113 0.342
17 H 0.593 0.635 0.613
18 H 0.636 0.517 0.328
19 H 0.136 0.483 0.172
20 H 0.826 0.248 0.108
21 H 0.780 0.782 0.846
22 H 0.720 0.782 0.346
23 H 0.943 0.869 0.419
24 H 0.148 0.952 0.771
25 H 0.729 0.190 0.972
26 H 0.665 0.887 0.658
27 H 0.443 0.131 0.081
28 H 0.864 0.517 0.828
29 H 0.220 0.218 0.154
30 H 0.280 0.218 0.654
31 H 0.174 0.752 0.892
32 H 0.407 0.365 0.387
33 O 0.143 0.548 0.132
34 O 0.727 0.694 0.604
35 O 0.677 0.218 0.852
36 O 0.597 0.436 0.055
37 O 0.778 0.876 0.390
38 O 0.357 0.548 0.632
39 O 0.278 0.124 0.110
40 O 0.463 0.361 0.722
41 O 0.097 0.564 0.445
42 O 0.037 0.361 0.222
43 O 0.323 0.782 0.148
44 O 0.823 0.218 0.352
45 O 0.963 0.639 0.778
46 O 0.757 0.166 0.044
47 O 0.722 0.876 0.890
48 O 0.857 0.452 0.868
49 O 0.273 0.306 0.396
50 O 0.222 0.124 0.610
51 O 0.243 0.834 0.956
52 O 0.743 0.166 0.544
53 O 0.646 0.974 0.650
54 O 0.403 0.564 0.945
55 O 0.227 0.306 0.896
56 O 0.537 0.639 0.278
57 O 0.773 0.694 0.104
58 O 0.146 0.026 0.850
59 O 0.643 0.452 0.368
60 O 0.354 0.026 0.350
61 O 0.903 0.436 0.555
62 O 0.177 0.782 0.648
63 O 0.257 0.834 0.456
64 O 0.854 0.974 0.150
65 I 0.963 0.378 0.376
66 I 0.463 0.622 0.124
67 I 0.037 0.622 0.624
68 I 0.537 0.378 0.876
69 Zn 0.500 0.000 0.500
70 Zn 0.000 0.000 0.000

---

(7)
The following is a PBE calculation of a relaxed structure of BaGe2Au4, from Alexandria via LeMat-Bulk.

## Properties
energy relative to the lowest polymorph listed for this composition	8	meV per atom
energy relative to the elements	-0.33	eV per atom

a = 4.797 Å, b = 6.756 Å, c = 19.942 Å
α = 90.00°, β = 90.00°, γ = 90.00°
Fractional positions:
1 Au 0.250 0.946 0.928
2 Au 0.250 0.554 0.428
3 Au 0.250 0.909 0.133
4 Au 0.750 0.409 0.367
5 Au 0.750 0.446 0.572
6 Au 0.750 0.091 0.867
7 Au 0.250 0.240 0.217
8 Au 0.750 0.777 0.474
9 Au 0.750 0.740 0.283
10 Au 0.250 0.223 0.526
11 Au 0.250 0.591 0.633
12 Au 0.250 0.260 0.717
13 Au 0.750 0.054 0.072
14 Au 0.750 0.723 0.974
15 Au 0.250 0.277 0.026
16 Au 0.750 0.760 0.783
17 Ge 0.250 0.544 0.294
18 Ge 0.250 0.813 0.527
19 Ge 0.250 0.687 0.027
20 Ge 0.750 0.044 0.206
21 Ge 0.750 0.313 0.973
22 Ge 0.750 0.187 0.473
23 Ge 0.750 0.456 0.706
24 Ge 0.250 0.956 0.794
25 Ba 0.750 0.523 0.140
26 Ba 0.750 0.977 0.640
27 Ba 0.250 0.023 0.360
28 Ba 0.250 0.477 0.860

---

(8)
The following is a PBE calculation of a relaxed structure of CsYGe2I8, from Alexandria via LeMat-Bulk.

## Properties
formation energy (no corrections)	-0.83	eV per atom

a = 7.821 Å, b = 7.230 Å, c = 11.062 Å
α = 91.65°, β = 85.51°, γ = 83.63°
Fractional positions:
1 I 0.160 0.738 0.789
2 I 0.400 0.249 0.604
3 I 0.840 0.262 0.211
4 I 0.687 0.771 0.007
5 I 0.166 0.764 0.187
6 I 0.834 0.236 0.813
7 I 0.313 0.229 0.993
8 I 0.600 0.751 0.396
9 Cs 0.000 0.000 0.500
10 Ge 0.451 0.436 0.807
11 Ge 0.549 0.564 0.193
12 Y 0.000 0.000 0.000

---

(9)
The following is a PBE calculation of a relaxed structure of NaAlTlOs2, from Alexandria via LeMat-Bulk.

## Properties
energy relative to the elements	2.42	eV per atom

a = 4.697 Å, b = 4.763 Å, c = 4.697 Å
α = 90.00°, β = 90.00°, γ = 90.00°
Fractional positions:
1 Na 0.000 0.000 0.000
2 Os 0.000 0.000 0.500
3 Os 0.500 0.000 0.000
4 Al 0.500 0.500 0.500
5 Tl 0.000 0.500 0.000

---

(10)
The following is a PBE calculation of a relaxed structure of HfAlRu, from Alexandria via LeMat-Bulk.

## Properties
energy relative to the elements	-0.62	eV per atom

a = 3.236 Å, b = 4.510 Å, c = 13.587 Å
α = 90.00°, β = 90.00°, γ = 90.00°
Fractional positions:
1 Ru 0.000 0.500 0.720
2 Ru 0.000 0.000 0.220
3 Ru 0.000 0.500 0.048
4 Ru 0.000 0.000 0.548
5 Al 0.000 0.000 0.901
6 Al 0.500 0.500 0.566
7 Al 0.500 0.000 0.066
8 Al 0.000 0.500 0.401
9 Hf 0.500 0.500 0.215
10 Hf 0.500 0.000 0.387
11 Hf 0.500 0.000 0.715
12 Hf 0.500 0.500 0.887

---

(11)
The following is a PBE calculation of a relaxed structure of Pu2CdAu4, from Alexandria via LeMat-Bulk.

## Properties
energy relative to the elements	0.08	eV per atom

a = 5.165 Å, b = 5.165 Å, c = 8.374 Å
α = 107.96°, β = 107.96°, γ = 90.00°
Fractional positions:
1 Pu 0.623 0.623 0.245
2 Pu 0.377 0.377 0.755
3 Au 0.816 0.816 0.631
4 Au 0.184 0.184 0.369
5 Au 0.500 0.000 0.000
6 Au 0.000 0.500 0.000
7 Cd 0.000 0.000 0.000

---

(12)
The following is a PBE calculation of a relaxed structure of Nd8Ho5In, from Alexandria via LeMat-Bulk.

## Properties
energy relative to the elements	0.10	eV per atom

a = 9.022 Å, b = 8.855 Å, c = 9.022 Å
α = 83.93°, β = 124.37°, γ = 123.32°
Fractional positions:
1 Nd 0.121 0.707 0.047
2 Nd 0.339 0.293 0.413
3 Nd 0.986 0.053 0.571
4 Nd 0.517 0.947 0.932
5 Nd 0.598 0.368 0.875
6 Nd 0.507 0.632 0.230
7 Nd 0.900 0.564 0.581
8 Nd 0.016 0.436 0.336
9 Ho 0.929 0.820 0.202
10 Ho 0.382 0.180 0.109
11 Ho 0.680 0.755 0.728
12 Ho 0.973 0.245 0.926
13 Ho 0.499 0.000 0.499
14 In 0.302 0.500 0.802

---

(13)
The following is a PBE calculation of a relaxed structure of Ca2PbF, from Alexandria via LeMat-Bulk.

## Properties
energy relative to the lowest polymorph listed for this composition	0	meV per atom
formation energy (no corrections)	-1.73	eV per atom

a = 3.848 Å, b = 6.966 Å, c = 8.747 Å
α = 113.45°, β = 102.72°, γ = 90.00°
Fractional positions:
1 Pb 0.970 0.920 0.516
2 Pb 0.691 0.640 0.955
3 Ca 0.641 0.091 0.858
4 Ca 0.330 0.541 0.235
5 Ca 0.020 0.469 0.613
6 Ca 0.330 0.019 0.235
7 F 0.238 0.187 0.050
8 F 0.423 0.372 0.421

---

(14)
The following is a PBE calculation of a relaxed structure of TaReRh2, from Alexandria via LeMat-Bulk.

## Properties
energy relative to the lowest polymorph listed for this composition	93	meV per atom
energy relative to the elements	-0.28	eV per atom

a = 2.771 Å, b = 2.771 Å, c = 7.890 Å
α = 90.00°, β = 90.00°, γ = 90.00°
Fractional positions:
1 Rh 0.000 0.000 0.260
2 Rh 0.000 0.000 0.740
3 Re 0.500 0.500 0.500
4 Ta 0.500 0.500 0.000

---

(15)
The following is a PBE calculation of a relaxed structure of NaHfTa2Ag, from Alexandria via LeMat-Bulk.

## Properties
energy relative to the elements	1.63	eV per atom

a = 5.014 Å, b = 4.708 Å, c = 5.014 Å
α = 90.00°, β = 90.00°, γ = 90.00°
Fractional positions:
1 Na 0.000 0.500 0.000
2 Ta 0.000 0.000 0.500
3 Ta 0.500 0.000 0.000
4 Hf 0.500 0.500 0.500
5 Ag 0.000 0.000 0.000

---

(16)
The following is a PBE calculation of a relaxed structure of CaPW2, from Alexandria via LeMat-Bulk.

## Properties
energy relative to the lowest polymorph listed for this composition	543	meV per atom
energy relative to the elements	0.63	eV per atom

a = 4.030 Å, b = 4.030 Å, c = 9.966 Å
α = 78.34°, β = 78.34°, γ = 90.00°
Fractional positions:
1 P 0.250 0.750 0.500
2 P 0.500 0.500 0.000
3 W 0.875 0.807 0.750
4 W 0.375 0.443 0.750
5 W 0.193 0.625 0.250
6 W 0.557 0.125 0.250
7 Ca 0.000 0.000 0.000
8 Ca 0.750 0.250 0.500

---

(17)
The following is a PBE calculation of a relaxed structure of KCaTe2, from Alexandria via LeMat-Bulk.

## Properties
formation energy (no corrections)	-0.51	eV per atom

a = 5.702 Å, b = 5.702 Å, c = 5.702 Å
α = 60.00°, β = 60.00°, γ = 60.00°
Fractional positions:
1 Te 0.250 0.250 0.250
2 Te 0.000 0.000 0.000
3 Ca 0.500 0.500 0.500
4 K 0.750 0.750 0.750

---

(18)
The following is a PBE calculation of a relaxed structure of Ga2Fe5Ge, from Alexandria via LeMat-Bulk.

## Properties
energy relative to the elements	0.00	eV per atom

a = 3.627 Å, b = 6.712 Å, c = 6.712 Å
α = 44.31°, β = 74.32°, γ = 74.32°
Fractional positions:
1 Ge 0.000 0.000 0.000
2 Fe 0.398 0.850 0.355
3 Fe 0.000 0.500 0.500
4 Fe 0.602 0.645 0.150
5 Fe 0.398 0.355 0.850
6 Fe 0.602 0.150 0.645
7 Ga 0.218 0.282 0.282
8 Ga 0.782 0.718 0.718

---

(19)
The following is a PBE calculation of a relaxed structure of PrNd2In, from Alexandria via LeMat-Bulk.

## Properties
energy relative to the lowest polymorph listed for this composition	150	meV per atom
energy relative to the elements	-0.12	eV per atom

a = 3.757 Å, b = 3.757 Å, c = 11.285 Å
α = 80.42°, β = 80.42°, γ = 60.00°
Fractional positions:
1 Nd 0.076 0.076 0.773
2 Nd 0.258 0.258 0.227
3 Pr 0.500 0.500 0.501
4 In 0.667 0.667 0.000

---

(20)
The following is a PBE calculation of a relaxed structure of CuBi2Pb, from Alexandria via LeMat-Bulk.

## Properties
energy relative to the elements	0.14	eV per atom

a = 4.105 Å, b = 4.105 Å, c = 8.073 Å
α = 75.27°, β = 75.27°, γ = 60.00°
Fractional positions:
1 Bi 0.271 0.271 0.186
2 Bi 0.729 0.729 0.814
3 Cu 0.000 0.000 0.000
4 Pb 0.500 0.500 0.500

---

The calculation returns the following size of the total moment values, one per record and in order: 0.0 0.0 0.0 0.0 0.8 0.0 0.0 0.0 2.1 0.0 11.7 0.0 0.0 0.0 0.0 0.0 0.0 10.2 0.0 0.0 μB per formula unit.